Record 1
# UAg2GeO6

Crystalline UAg2GeO6 at its relaxed geometry (PBE, the Alexandria database).

```
data_UAg2GeO6
_symmetry_space_group_name_H-M 'P 4 m m'
_symmetry_Int_Tables_number 99
_symmetry_space_group_name_Hall 'P 4 -2'
_cell_length_a 5.513
_cell_length_b 5.513
_cell_length_c 4.385
_cell_angle_alpha 90.00
_cell_angle_beta 90.00
_cell_angle_gamma 90.00
loop_
_atom_site_label
_atom_site_type_symbol
_atom_site_fract_x
_atom_site_fract_y
_atom_site_fract_z
U1 U 0.000 0.000 0.000
Ag1 Ag 0.000 0.500 0.462
Ge1 Ge 0.500 0.500 0.923
O1 O 0.000 0.000 0.507
O2 O 0.262 0.262 0.012
O3 O 0.500 0.500 0.521
```



Record 2
# UAgGeO6

Crystalline UAgGeO6 at its relaxed geometry (PBE, the Alexandria database).

```
data_UAgGeO6
_symmetry_space_group_name_H-M 'P -3 1 c'
_symmetry_Int_Tables_number 163
_symmetry_space_group_name_Hall '-P 3 2c'
_cell_length_a 5.3646
_cell_length_b 5.3646
_cell_length_c 9.5781
_cell_angle_alpha 90.00
_cell_angle_beta 90.00
_cell_angle_gamma 120.00
loop_
_atom_site_label
_atom_site_type_symbol
_atom_site_fract_x
_atom_site_fract_y
_atom_site_fract_z
U1 U 0.3333 0.6667 0.2500
Ag1 Ag 0.0000 0.0000 0.0000
Ge1 Ge 0.3333 0.6667 0.7500
O1 O 0.0238 0.3734 0.6400
```



Formation energy (no corrections) per entry: -1539, -1511 kJ/mol of formula units